[1]
Dy2Al3Ag: relaxed, PBE.

POSCAR file:
```
Dy2Al3Ag
1.0
5.6296 0.0000 0.0000
-2.8148 4.8754 0.0000
0.0000 0.0000 8.8962
Al Ag Dy
6 2 4
direct
0.1710 0.3420 0.2500
0.8290 0.6580 0.7500
0.3420 0.1710 0.7500
0.6580 0.8290 0.2500
0.8290 0.1710 0.7500
0.1710 0.8290 0.2500
0.0000 0.0000 0.0000
0.0000 0.0000 0.5000
0.3333 0.6667 0.9282
0.6667 0.3333 0.4282
0.6667 0.3333 0.0718
0.3333 0.6667 0.5718
```

Summary:
excess energy over the best structure of this formula in the dataset	0	meV per atom
formation enthalpy at 0 K	-2.79	eV/f.u.
volume	244.17	Å³ per cell
ρ	6989	kg/m3
size of the total moment	0.00	μB per atom

***

[2]
RbCoRu: relaxed, PBE.

POSCAR file:
```
RbCoRu
1.0
5.1482 -2.9723 0.0000
0.0000 5.9447 0.0000
0.0000 0.0000 8.5835
Rb Ru Co
2 2 2
direct
0.3333 0.6667 0.2500
0.6667 0.3333 0.7500
0.0000 0.0000 0.0000
0.0000 0.0000 0.5000
0.0000 0.0000 0.7500
0.0000 0.0000 0.2500
```

Summary:
excess energy over the best structure of this formula in the dataset	1148	meV per atom
formation enthalpy at 0 K	5.34	eV/f.u.
volume	262.69	Å³ per cell
ρ	3103	kg/m3
size of the total moment	0.77	μB per atom

***

[3]
Na2AgGe: relaxed, PBE.

POSCAR file:
```
Na2AgGe
1.0
-4.4638 0.7936 -2.8154
-2.0958 -5.2237 1.8504
-2.0162 3.6356 4.2215
Na Ag Ge
4 2 2
direct
0.7500 0.0254 0.6583
0.7500 0.6583 0.0254
0.2500 0.9746 0.3417
0.2500 0.3417 0.9746
0.2500 0.8264 0.8264
0.7500 0.1736 0.1736
0.0000 0.5000 0.5000
0.5000 0.5000 0.5000
```

Summary:
formation enthalpy at 0 K	-0.03	eV/f.u.
volume	183.63	Å³ per cell
ρ	4096	kg/m3
size of the total moment	0.00	μB per atom